(1)
Computed, not measured: an optimized crystal structure of Cd2GaC at the PBE-GGA level of DFT.

Summary:
SG   Fm-3m (225)
Total DFT energy (no corrections)   -9.220 eV per cell
Formation energy from the elements   117.3 kJ per mole of atoms
Relative energy among the computed polymorphs   184 meV per atom

```
Cd2GaC
1.0
0.0000 3.2808 3.2808
3.2808 0.0000 3.2808
3.2808 3.2808 0.0000
Cd Ga C
2 1 1
Cartesian
1.6404 1.6404 1.6404
4.9212 4.9212 4.9212
0.0000 0.0000 0.0000
3.2808 3.2808 3.2808
```

(2)
Computed, not measured: an optimized crystal structure of CdGa2C at the PBE-GGA level of DFT.

Summary:
SG   I-42d (122)
Total DFT energy (no corrections)   -28.589 eV per cell
Formation energy from the elements   45.8 kJ per mole of atoms
Relative energy among the computed polymorphs   0 meV per atom

```
CdGa2C
1.0
-2.9401 2.9401 4.2582
2.9401 -2.9401 4.2582
2.9401 2.9401 -4.2582
Cd Ga C
2 4 2
Cartesian
0.0000 0.0000 0.0000
0.0000 2.9401 2.1291
1.4701 -0.8292 3.1936
2.1110 1.4701 1.0645
1.4701 3.7693 -1.0645
0.8292 1.4701 5.3227
2.9401 0.0000 2.1291
0.0000 0.0000 4.2582
```

(3)
Computed, not measured: an optimized crystal structure of Cd3GaC at the PBE-GGA level of DFT.

Summary:
SG   Pm-3m (221)
Total DFT energy (no corrections)   -7.571 eV per cell
Formation energy from the elements   143.3 kJ per mole of atoms
Relative energy among the computed polymorphs   722 meV per atom

```
Cd3GaC
1.0
5.1691 0.0000 0.0000
0.0000 5.1691 0.0000
0.0000 0.0000 5.1691
Cd Ga C
3 1 1
Cartesian
0.0000 0.0000 2.5845
0.0000 2.5845 0.0000
2.5845 0.0000 0.0000
0.0000 0.0000 0.0000
2.5845 2.5845 2.5845
```